# 1
A relaxed SmSb3Ru crystal. Source: the Alexandria database, functional PBE-GGA.

Properties
raw formation energy	-2.90	eV per formula unit
raw total energy	-117.03	eV per cell

Cell lengths 12.754, 6.236, 6.084 Å; angles 90.00, 90.00, 90.00 degrees
Space group Pbcm (No. 57)
One atom of each set of equivalent atoms:
Sm: 0.194 0.000 0.250 [4 per cell]
Sb: 0.002 0.250 0.000 [4 per cell]
Sb: 0.279 0.513 0.250 [4 per cell]
Sb: 0.441 0.600 0.750 [4 per cell]
Ru: 0.398 0.250 0.000 [4 per cell]

# 2
A relaxed Sm6SbRu2 crystal. Source: the Alexandria database, functional PBE-GGA.

Properties
raw formation energy	-3.77	eV per formula unit
raw total energy	-219.04	eV per cell

Cell lengths 9.612, 9.801, 10.582 Å; angles 90.00, 90.00, 90.00 degrees
Space group Immm (No. 71)
One atom of each set of equivalent atoms:
Sm: 0.000 0.206 0.237 [8 per cell]
Sm: 0.186 0.500 0.171 [8 per cell]
Sm: 0.214 0.318 0.500 [8 per cell]
Sb: 0.000 0.000 0.000 [2 per cell]
Sb: 0.000 0.000 0.500 [2 per cell]
Ru: 0.000 0.327 0.000 [4 per cell]
Ru: 0.000 0.500 0.374 [4 per cell]